The following is a DFT calculation (PBE-GGA) of a geometry-optimized La3Nd2Tm structure.

Structure (POSCAR):
```
La3Nd2Tm
1.0
6.3949 0.0000 0.0000
-3.1974 5.5381 0.0000
0.0000 0.0000 11.9767
La Nd Tm
6 4 2
Direct
0.0000 0.3299 0.2500
0.0000 0.6701 0.7500
0.3299 0.0000 0.2500
0.3299 0.3299 0.7500
0.6701 0.0000 0.7500
0.6701 0.6701 0.2500
0.3333 0.6667 0.0000
0.3333 0.6667 0.5000
0.6667 0.3333 0.0000
0.6667 0.3333 0.5000
0.0000 0.0000 0.0000
0.0000 0.0000 0.5000
```

Results
The total energy is -57.3 eV for the cell shown. The calculation puts the energy above the lowest structure with this stoichiometry at 0 meV/atom. The total moment is 0.00 μB/f.u. The value obtained for the density of states at the Fermi level is 1.245 states/eV/atom. The calculated density is 6.8 Mg/m³. The formation energy from the elements comes out at 0.03 eV/atom.